Entry 1:
Below is Ca3Tl2Cd2 after structural relaxation, with properties calculated at the PBE level.

Properties
symmetry = Cmmm
electronic total energy = -14.967 eV/cell

Cell: 4.641 3.626 12.083 Å, 90.00 78.93 90.00°
Fractional coordinates of all 7 atoms:
Ca 0.155 0.000 0.691
Ca 0.845 0.000 0.309
Ca 0.000 0.000 0.000
Cd 0.716 0.500 0.567
Cd 0.284 0.500 0.433
Tl 0.579 0.500 0.842
Tl 0.421 0.500 0.158

---

Entry 2:
Below is La3BiIr after structural relaxation, with properties calculated at the PBE level.

Properties
symmetry = R-3
electronic total energy = -61.838 eV/cell

Cell: 8.505 8.505 8.505 Å, 53.12 53.12 53.12°
Fractional coordinates of all 10 atoms:
La 0.020 0.814 0.430
La 0.430 0.020 0.814
La 0.980 0.186 0.570
La 0.570 0.980 0.186
La 0.186 0.570 0.980
La 0.814 0.430 0.020
Ir 0.165 0.165 0.165
Ir 0.835 0.835 0.835
Bi 0.635 0.635 0.635
Bi 0.365 0.365 0.365

---

Entry 3:
Below is BeInSeF2 after structural relaxation, with properties calculated at the PBE level.

Properties
symmetry = P4/mmm
electronic total energy = -14.796 eV/cell

Cell: 4.165 6.134 4.165 Å, 90.00 90.00 90.00°
Fractional coordinates of all 5 atoms:
Se 0.000 0.000 0.000
F 0.500 0.000 0.000
F 0.000 0.000 0.500
In 0.000 0.500 0.000
Be 0.500 0.500 0.500

---

Entry 4:
Below is TmZr3Co2 after structural relaxation, with properties calculated at the PBE level.

Properties
symmetry = C2/m
electronic total energy = -90.364 eV/cell

Cell: 4.731 8.248 7.504 Å, 121.23 90.00 106.67°
Fractional coordinates of all 12 atoms:
Zr 0.306 0.612 0.603
Zr 0.062 0.123 0.401
Zr 0.613 0.225 0.727
Zr 0.694 0.388 0.397
Zr 0.387 0.775 0.273
Zr 0.938 0.877 0.599
Co 0.210 0.420 0.796
Co 0.790 0.580 0.204
Co 0.512 0.023 0.164
Co 0.488 0.977 0.836
Tm 0.863 0.726 0.939
Tm 0.137 0.274 0.061

---

Which of these has the lowest electronic total energy? TmZr3Co2

---

Among the records above, which one has the highest electronic total energy? BeInSeF2

---

Number 3 is which compound? BeInSeF2